{
  "formula": "K2ZnWC",
  "functional": "GGA-PBE",
  "state": "optimized geometry",
  "e_tot_ev_per_atom": -3.34,
  "total_magnetization_mub_per_fu": 4.86,
  "lattice": [[-1.166, -0.966, -6.296], [6.355, 0.262, -1.217], [0.245, -3.586, 0.505]],
  "species": ["C", "Zn", "K", "K", "W"],
  "frac_coords": [[0.000, 0.000, 0.500], [0.000, 0.000, 0.000], [0.000, 0.500, 0.000], [0.500, 0.000, 0.000], [0.500, 0.500, 0.500]]
}

{
  "formula": "PmPrSm2Ho2",
  "functional": "GGA-PBE",
  "state": "optimized geometry",
  "e_tot_ev_per_atom": -4.42,
  "total_magnetization_mub_per_fu": 0.00,
  "lattice": [[3.424, 0.000, 0.000], [0.000, 6.606, 0.000], [0.000, 0.000, 18.162]],
  "species": ["Pm", "Pm", "Pr", "Pr", "Sm", "Sm", "Sm", "Sm", "Ho", "Ho", "Ho", "Ho"],
  "frac_coords": [[0.500, 0.500, 0.000], [0.000, 0.000, 0.500], [0.000, 0.000, 0.000], [0.500, 0.500, 0.500], [0.500, 0.278, 0.312], [0.000, 0.778, 0.188], [0.500, 0.722, 0.688], [0.000, 0.222, 0.812], [0.500, 0.780, 0.352], [0.500, 0.220, 0.648], [0.000, 0.720, 0.852], [0.000, 0.280, 0.148]]
}

{
  "formula": "Li2YCuAu4",
  "functional": "GGA-PBE",
  "state": "optimized geometry",
  "e_tot_ev_per_atom": -3.95,
  "total_magnetization_mub_per_fu": 0.00,
  "lattice": [[-2.766, -0.669, -3.443], [1.650, -1.011, -4.027], [-0.751, -8.664, -0.611]],
  "species": ["Li", "Li", "Y", "Cu", "Au", "Au", "Au", "Au"],
  "frac_coords": [[0.763, 0.763, 0.711], [0.237, 0.237, 0.289], [0.000, 0.000, 0.000], [0.500, 0.500, 0.500], [0.395, 0.395, 0.814], [0.873, 0.873, 0.382], [0.127, 0.127, 0.618], [0.605, 0.605, 0.186]]
}

{
  "formula": "BaSr2Y",
  "functional": "GGA-PBE",
  "state": "optimized geometry",
  "e_tot_ev_per_atom": -2.75,
  "de_polymorph_mev_per_atom": 43.7,
  "total_magnetization_mub_per_fu": 0.00,
  "lattice": [[6.466, 0.000, 0.000], [3.233, 5.600, 0.000], [3.233, 1.867, 5.280]],
  "species": ["Ba", "Sr", "Sr", "Y"],
  "frac_coords": [[0.500, 0.500, 0.500], [0.000, 0.000, 0.000], [0.250, 0.250, 0.250], [0.750, 0.750, 0.750]]
}